A plane-wave DFT calculation with PBE was carried out for a relaxed TaSnMo2H crystal.

Properties
Spin magnetization: 0.000 μB/atom
D(E_F): 0.8255 states/eV per atom
Uncorrected energy: -8.0707 eV per atom

abc: 4.304 4.304 3.885
angles: 90.00 90.00 90.00
Space group P4/mmm (No. 123)
Unique sites:
1 Ta 0.000 0.000 0.000 x1
2 Sn 0.500 0.500 0.000 x1
3 Mo 0.000 0.500 0.500 x2
4 H 0.000 0.000 0.500 x1

=====

A plane-wave DFT calculation with PBE was carried out for a relaxed K2RuO3 crystal.

Properties
Spin magnetization: 0.329 μB/atom
D(E_F): 0.3438 states/eV per atom
Uncorrected energy: -5.5523 eV per atom
Formation energy without anion corrections: -6.97 eV/f.u.

abc: 10.100 6.952 5.924
angles: 90.00 90.00 90.00
Space group Cmcm (No. 63)
Unique sites:
1 K 0.171 0.145 0.250 x8
2 Ru 0.000 0.426 0.750 x4
3 O 0.000 0.159 0.750 x4
4 O 0.129 0.500 0.000 x8

=====

A plane-wave DFT calculation with PBE was carried out for a relaxed Ac5Tl2Ni crystal.

Properties
Spin magnetization: 0.000 μB/atom
Excess energy over the best structure of this formula in the dataset: 0.142 eV per atom
Formation energy from the elements: -0.10 eV per atom
D(E_F): 1.1539 states/eV per atom
Uncorrected energy: -3.9867 eV per atom

abc: 6.256 11.437 16.684
angles: 90.00 90.00 90.00
Space group Cmcm (No. 63)
Unique sites:
1 Ac 0.000 0.086 0.116 x8
2 Ac 0.000 0.251 0.750 x4
3 Ac 0.000 0.413 0.116 x8
4 Tl 0.000 0.250 0.553 x8
5 Ni 0.000 0.249 0.250 x4

=====

A plane-wave DFT calculation with PBE was carried out for a relaxed FeCoNi6 crystal.

Properties
Spin magnetization: 1.093 μB/atom
Excess energy over the best structure of this formula in the dataset: 0.000 eV per atom
Formation energy from the elements: -0.03 eV per atom
D(E_F): 1.1982 states/eV per atom
Uncorrected energy: -6.3164 eV per atom

abc: 4.995 4.995 3.534
angles: 90.00 90.00 90.00
Space group P4/mmm (No. 123)
Unique sites:
1 Fe 0.000 0.000 0.000 x1
2 Co 0.500 0.500 0.000 x1
3 Ni 0.000 0.500 0.000 x2
4 Ni 0.251 0.251 0.500 x4